Below is Y2TiMoF after structural relaxation, with properties calculated at the PBE with a Hubbard U level.

The space group is P4/mmm (No. 123) and the conventional cell measures 4.703, 4.703 and 5.128 Å, with angles of 90.00, 90.00 and 90.00 degrees. The distinct sites, in fractional coordinates, are Y at (0.000, 0.500, 0.000), Ti at (0.000, 0.000, 0.500), Mo at (0.500, 0.500, 0.500) and F at (0.500, 0.500, 0.000).

As for the total DFT energy (no corrections): -6.25 eV/atom.